(1)
{"formula": "FeAgIr2", "functional": "GGA-PBE", "state": "relaxed", "cell": [[4.396, 0.000, 0.000], [2.198, 3.807, 0.000], [2.198, 1.269, 3.589]], "species": ["Ag", "Fe", "Ir", "Ir"], "fractional_positions": [[0.500, 0.500, 0.500], [0.250, 0.250, 0.250], [0.000, 0.000, 0.000], [0.750, 0.750, 0.750]], "sg": "F-43m, No. 216", "formation_energy_ev_per_atom": 0.4908, "e_above_lowest_polymorph_mev_per_atom": 365}

(2)
{"formula": "CdPd2Pt2", "functional": "GGA-PBE", "state": "relaxed", "cell": [[-2.117, 0.902, 2.964], [0.410, -3.477, 1.351], [4.431, 0.581, 5.362]], "species": ["Pd", "Pd", "Pt", "Pt", "Cd"], "fractional_positions": [[0.750, 0.250, 0.500], [0.250, 0.750, 0.500], [0.402, 0.402, 0.197], [0.598, 0.598, 0.803], [0.000, 0.000, 0.000]], "sg": "I4/mmm, No. 139", "formation_energy_ev_per_atom": 0.1070, "e_above_lowest_polymorph_mev_per_atom": 288}

(3)
{"formula": "P2WCl", "functional": "GGA-PBE", "state": "relaxed", "cell": [[3.242, -0.544, -0.734], [2.015, 2.598, -0.734], [0.031, 0.012, 7.891]], "species": ["Cl", "P", "P", "W"], "fractional_positions": [[0.250, 0.250, 0.250], [0.149, 0.149, 0.945], [0.351, 0.351, 0.555], [0.750, 0.750, 0.750]], "sg": "C2/m, No. 12", "e_above_lowest_polymorph_mev_per_atom": 38}

(4)
{"formula": "Pr2CdAg", "functional": "GGA-PBE", "state": "relaxed", "cell": [[-2.029, -2.228, -2.387], [3.196, -1.932, -0.913], [-1.327, -4.885, 5.689]], "species": ["Pr", "Pr", "Ag", "Cd"], "fractional_positions": [[0.000, 0.000, 0.757], [0.000, 0.000, 0.243], [0.500, 0.500, 0.000], [0.500, 0.500, 0.500]], "sg": "P4/mmm, No. 123", "formation_energy_ev_per_atom": -0.2833, "e_above_lowest_polymorph_mev_per_atom": 0}

(5)
{"formula": "K3DyTh3Se8", "functional": "GGA-PBE", "state": "relaxed", "cell": [[-3.655, -7.147, 2.648], [8.255, 0.106, -1.808], [-2.669, 4.260, 7.814]], "species": ["K", "K", "K", "Dy", "Th", "Th", "Th", "Se", "Se", "Se", "Se", "Se", "Se", "Se", "Se"], "fractional_positions": [[0.000, 0.000, 0.000], [0.000, 0.500, 0.000], [0.500, 0.500, 0.000], [0.000, 0.000, 0.500], [0.500, 0.000, 0.500], [0.500, 0.500, 0.500], [0.000, 0.500, 0.500], [0.261, 0.521, 0.282], [0.739, 0.479, 0.718], [0.767, 0.534, 0.293], [0.233, 0.466, 0.707], [0.767, 0.027, 0.293], [0.233, 0.973, 0.707], [0.260, 0.026, 0.293], [0.740, 0.974, 0.707]], "sg": "R-3m, No. 166", "dft_energy_ev_per_atom": -5.50}

(6)
{"formula": "Y2ZrIr", "functional": "GGA-PBE", "state": "relaxed", "cell": [[2.333, -2.830, 3.481], [-2.552, -1.652, 4.040], [-1.133, -4.908, 0.441]], "species": ["Y", "Y", "Ir", "Zr"], "fractional_positions": [[0.250, 0.250, 0.250], [0.750, 0.750, 0.750], [0.500, 0.500, 0.500], [0.000, 0.000, 0.000]], "sg": "Fm-3m, No. 225", "formation_energy_ev_per_atom": -0.0935, "e_above_lowest_polymorph_mev_per_atom": 342}

(7)
{"formula": "TaS", "functional": "GGA-PBE", "state": "relaxed", "cell": [[-3.348, -1.812, -6.700], [5.713, -4.943, -1.518], [-3.941, -5.627, 3.491]], "species": ["Ta", "Ta", "Ta", "Ta", "Ta", "Ta", "Ta", "Ta", "S", "S", "S", "S", "S", "S", "S", "S"], "fractional_positions": [[0.375, 0.375, 0.375], [0.375, 0.625, 0.625], [0.625, 0.375, 0.625], [0.625, 0.625, 0.375], [0.875, 0.875, 0.875], [0.875, 0.125, 0.125], [0.125, 0.875, 0.125], [0.125, 0.125, 0.875], [0.187, 0.187, 0.187], [0.187, 0.813, 0.813], [0.813, 0.187, 0.813], [0.813, 0.813, 0.187], [0.687, 0.687, 0.687], [0.687, 0.313, 0.313], [0.313, 0.687, 0.313], [0.313, 0.313, 0.687]], "sg": "I-43m, No. 217", "dft_energy_ev_per_atom": -8.18}

(8)
{"formula": "Dy2HoCrN4", "functional": "GGA-PBE", "state": "relaxed", "cell": [[3.356, 0.000, 0.000], [-1.678, 5.674, 0.000], [0.000, 0.000, 11.658]], "species": ["Dy", "Dy", "Dy", "Dy", "Ho", "Ho", "Cr", "Cr", "N", "N", "N", "N", "N", "N", "N", "N"], "fractional_positions": [[0.369, 0.737, 0.543], [0.631, 0.263, 0.043], [0.631, 0.263, 0.457], [0.369, 0.737, 0.957], [0.112, 0.224, 0.750], [0.888, 0.776, 0.250], [0.844, 0.688, 0.750], [0.156, 0.312, 0.250], [0.268, 0.536, 0.132], [0.732, 0.464, 0.632], [0.732, 0.464, 0.868], [0.268, 0.536, 0.368], [0.000, 0.000, 0.500], [0.000, 0.000, 0.000], [0.436, 0.871, 0.750], [0.564, 0.129, 0.250]], "sg": "Cmcm, No. 63", "dft_energy_ev_per_atom": -8.31}